## InAg2Pb2 (PBE)

Data for a relaxed InAg2Pb2 crystal.

Structure (POSCAR):
```
InAg2Pb2
1.0
7.539 0.000 0.000
0.000 7.539 0.000
0.000 0.000 4.453
In Ag Pb
2 4 4
Direct
0.500 0.500 0.000 In
0.000 0.000 0.000 In
0.366 0.866 0.000 Ag
0.134 0.366 0.000 Ag
0.866 0.634 0.000 Ag
0.634 0.134 0.000 Ag
0.167 0.667 0.500 Pb
0.667 0.833 0.500 Pb
0.333 0.167 0.500 Pb
0.833 0.333 0.500 Pb
```

Results
**Space-group type**: No. 127
**Total energy**: -3.097 eV/atom
**Energy relative to the elements**: 36 kJ/mol of formula units
**Energy above the lowest structure with this stoichiometry**: 0.02 eV per formula unit